1.
Density functional theory data (PBE) for a relaxed Mn2CdBr6 crystal.

Crystal system   monoclinic
Energy relative to the lowest polymorph listed for this composition   0.000 eV per atom
ΔE_f (raw)   -0.807 eV per atom
Final energy   -4.061 eV per atom
Calculated density   4.174 Mg/m³

Lattice parameters (Å, degrees): 17.942 3.932 8.265 90.00 106.80 90.00
Space group C2/m (No. 12)
Symmetry-distinct sites (fractional):
Mn 0.169 0.000 0.335 [4 per cell]
Cd 0.000 0.500 0.000 [2 per cell]
Br 0.010 0.000 0.246 [4 per cell]
Br 0.165 0.500 0.108 [4 per cell]
Br 0.174 0.500 0.564 [4 per cell]



2.
Density functional theory data (PBE) for a relaxed MnCdBr5 crystal.

Crystal system   monoclinic
ΔE_f (raw)   -0.675 eV per atom
Final energy   -3.311 eV per atom
Calculated density   4.136 Mg/m³

Lattice parameters (Å, degrees): 7.184 13.910 9.602 90.00 108.41 90.00
Space group C2/c (No. 15)
Symmetry-distinct sites (fractional):
Mn 0.000 0.000 0.000 [4 per cell]
Cd 0.000 0.473 0.250 [4 per cell]
Br 0.000 0.073 0.250 [4 per cell]
Br 0.175 0.403 0.968 [8 per cell]
Br 0.191 0.143 0.623 [8 per cell]



3.
Density functional theory data (PBE) for a relaxed Mn4CdBr crystal.

Crystal system   cubic
ΔE_f (raw)   0.678 eV per atom
Final energy   -5.866 eV per atom
Calculated density   5.827 Mg/m³

Lattice parameters (Å, degrees): 7.773 7.773 7.773 90.00 90.00 90.00
Space group F-43m (No. 216)
Symmetry-distinct sites (fractional):
Mn 0.123 0.123 0.377 [16 per cell]
Cd 0.250 0.250 0.750 [4 per cell]
Br 0.000 0.000 0.000 [4 per cell]



4.
Density functional theory data (PBE) for a relaxed Na2MnCdBr6 crystal.

Crystal system   trigonal
ΔE_f (raw)   -1.078 eV per atom
Final energy   -3.354 eV per atom
Calculated density   3.992 Mg/m³

Lattice parameters (Å, degrees): 7.2392 7.2392 19.0456 90.00 90.00 120.00
Space group R3 (No. 146, hexagonal axes)
Symmetry-distinct sites (fractional):
Na 0.0000 0.0000 0.0000 [3 per cell]
Na 0.0000 0.0000 0.4974 [3 per cell]
Mn 0.0000 0.0000 0.7001 [3 per cell]
Cd 0.0000 0.0000 0.2018 [3 per cell]
Br 0.0458 0.3341 0.7733 [9 per cell]
Br 0.0525 0.7000 0.2765 [9 per cell]



5.
Density functional theory data (PBE) for a relaxed NaMnCdBr5 crystal.

Crystal system   monoclinic
ΔE_f (raw)   -0.961 eV per atom
Final energy   -3.432 eV per atom
Calculated density   3.828 Mg/m³

Lattice parameters (Å, degrees): 9.151 12.109 10.058 90.00 113.32 90.00
Space group C2/c (No. 15)
Symmetry-distinct sites (fractional):
Na 0.000 0.150 0.250 [4 per cell]
Mn 0.000 0.183 0.750 [4 per cell]
Cd 0.000 0.500 0.000 [4 per cell]
Br 0.000 0.403 0.250 [4 per cell]
Br 0.140 0.299 0.632 [8 per cell]
Br 0.174 0.055 0.943 [8 per cell]



6.
Density functional theory data (PBE) for a relaxed NaMnCdBr6 crystal.

Crystal system   tetragonal
ΔE_f (raw)   -0.861 eV per atom
Final energy   -3.243 eV per atom
Calculated density   3.936 Mg/m³

Lattice parameters (Å, degrees): 6.922 6.922 11.798 90.00 90.00 90.00
Space group P4_2nm (No. 102)
Symmetry-distinct sites (fractional):
Na 0.000 0.000 0.000 [2 per cell]
Mn 0.000 0.000 0.664 [2 per cell]
Cd 0.000 0.000 0.319 [2 per cell]
Br 0.172 0.172 0.510 [4 per cell]
Br 0.180 0.180 0.807 [4 per cell]
Br 0.205 0.205 0.170 [4 per cell]



7.
Density functional theory data (PBE) for a relaxed NaMnCd2Br8 crystal.

Crystal system   triclinic
ΔE_f (raw)   -0.854 eV per atom
Final energy   -2.995 eV per atom
Calculated density   4.249 Mg/m³

Lattice parameters (Å, degrees): 6.476 7.046 8.070 90.06 90.05 91.10
Space group P-1 (No. 2)
Symmetry-distinct sites (fractional):
Na 0.000 0.000 0.000 [1 per cell]
Mn 0.000 0.000 0.500 [1 per cell]
Cd 0.499 0.499 0.744 [2 per cell]
Br 0.220 0.143 0.286 [2 per cell]
Br 0.221 0.143 0.715 [2 per cell]
Br 0.261 0.655 0.500 [2 per cell]
Br 0.284 0.659 0.000 [2 per cell]



8.
Density functional theory data (PBE) for a relaxed MnCdNi2Br crystal.

Crystal system   tetragonal
ΔE_f (raw)   1.274 eV per atom
Final energy   -3.390 eV per atom
Calculated density   4.883 Mg/m³

Lattice parameters (Å, degrees): 4.771 4.771 5.446 90.00 90.00 90.00
Space group P4/mmm (No. 123)
Symmetry-distinct sites (fractional):
Mn 0.000 0.000 0.000 [1 per cell]
Cd 0.500 0.500 0.500 [1 per cell]
Ni 0.000 0.500 0.500 [2 per cell]
Br 0.500 0.500 0.000 [1 per cell]



9.
Density functional theory data (PBE) for a relaxed MnCdPbBr6 crystal.

Crystal system   trigonal
ΔE_f (raw)   -0.824 eV per atom
Final energy   -3.472 eV per atom
Calculated density   4.969 Mg/m³

Lattice parameters (Å, degrees): 7.0649 7.0649 13.2040 90.00 90.00 120.00
Space group P-31c (No. 163)
Symmetry-distinct sites (fractional):
Mn 0.3333 0.6667 0.2500 [2 per cell]
Cd 0.3333 0.6667 0.7500 [2 per cell]
Pb 0.0000 0.0000 0.0000 [2 per cell]
Br 0.0127 0.3654 0.1324 [12 per cell]



10.
Density functional theory data (PBE) for a relaxed RbMn2CdBr8 crystal.

Crystal system   trigonal
ΔE_f (raw)   -0.876 eV per atom
Final energy   -3.677 eV per atom
Calculated density   3.847 Mg/m³

Lattice parameters (Å, degrees): 6.9587 6.9587 9.7474 90.00 90.00 120.00
Space group P-3 (No. 147)
Symmetry-distinct sites (fractional):
Rb 0.0000 0.0000 0.0000 [1 per cell]
Mn 0.3333 0.6667 0.7381 [2 per cell]
Cd 0.0000 0.0000 0.5000 [1 per cell]
Br 0.0047 0.6790 0.3261 [6 per cell]
Br 0.3333 0.6667 0.9830 [2 per cell]



11.
Density functional theory data (PBE) for a relaxed Rb3MnCd2Br9 crystal.

Crystal system   trigonal
ΔE_f (raw)   -1.178 eV per atom
Final energy   -3.109 eV per atom
Calculated density   4.155 Mg/m³

Lattice parameters (Å, degrees): 7.7920 7.7920 9.5410 90.00 90.00 120.00
Space group P-3m1 (No. 164)
Symmetry-distinct sites (fractional):
Rb 0.0000 0.0000 0.0000 [1 per cell]
Rb 0.3333 0.6667 0.6679 [2 per cell]
Mn 0.0000 0.0000 0.5000 [1 per cell]
Cd 0.3333 0.6667 0.1728 [2 per cell]
Br 0.0000 0.5000 0.0000 [3 per cell]
Br 0.1626 0.3252 0.3388 [6 per cell]



12.
Density functional theory data (PBE) for a relaxed RbMnCdBr5 crystal.

Crystal system   monoclinic
ΔE_f (raw)   -1.048 eV per atom
Final energy   -3.475 eV per atom
Calculated density   3.831 Mg/m³

Lattice parameters (Å, degrees): 9.500 12.811 10.040 90.00 112.24 90.00
Space group C2/c (No. 15)
Symmetry-distinct sites (fractional):
Rb 0.000 0.152 0.250 [4 per cell]
Mn 0.000 0.187 0.750 [4 per cell]
Cd 0.000 0.500 0.000 [4 per cell]
Br 0.000 0.422 0.250 [4 per cell]
Br 0.112 0.297 0.608 [8 per cell]
Br 0.185 0.071 0.937 [8 per cell]



13.
Density functional theory data (PBE) for a relaxed RbMnCd2Br8 crystal.

Crystal system   triclinic
ΔE_f (raw)   -0.896 eV per atom
Final energy   -3.009 eV per atom
Calculated density   3.932 Mg/m³

Lattice parameters (Å, degrees): 6.715 6.807 9.979 82.55 87.67 69.72
Space group P-1 (No. 2)
Symmetry-distinct sites (fractional):
Rb 0.000 0.000 0.000 [1 per cell]
Mn 0.000 0.000 0.500 [1 per cell]
Cd 0.362 0.372 0.293 [2 per cell]
Br 0.194 0.740 0.689 [2 per cell]
Br 0.231 0.211 0.524 [2 per cell]
Br 0.276 0.778 0.310 [2 per cell]
Br 0.323 0.298 0.054 [2 per cell]



14.
Density functional theory data (PBE) for a relaxed MnCdS2Br crystal.

Crystal system   tetragonal
ΔE_f (raw)   0.826 eV per atom
Final energy   -3.176 eV per atom
Calculated density   4.086 Mg/m³

Lattice parameters (Å, degrees): 5.170 5.170 4.734 90.00 90.00 90.00
Space group P4/mmm (No. 123)
Symmetry-distinct sites (fractional):
Mn 0.000 0.000 0.000 [1 per cell]
Cd 0.500 0.500 0.000 [1 per cell]
S 0.000 0.500 0.500 [2 per cell]
Br 0.000 0.000 0.500 [1 per cell]



15.
Density functional theory data (PBE) for a relaxed MnCdSeBr2 crystal.

Crystal system   tetragonal
Energy relative to the lowest polymorph listed for this composition   0.000 eV per atom
ΔE_f (raw)   0.072 eV per atom
Final energy   -3.311 eV per atom
Calculated density   5.536 Mg/m³

Lattice parameters (Å, degrees): 5.168 5.168 4.560 90.00 90.00 90.00
Space group P4/mmm (No. 123)
Symmetry-distinct sites (fractional):
Mn 0.000 0.000 0.000 [1 per cell]
Cd 0.500 0.500 0.500 [1 per cell]
Se 0.000 0.000 0.500 [1 per cell]
Br 0.000 0.500 0.000 [2 per cell]



16.
Density functional theory data (PBE) for a relaxed MnCdSe2Br crystal.

Crystal system   tetragonal
Energy relative to the lowest polymorph listed for this composition   0.000 eV per atom
ΔE_f (raw)   0.134 eV per atom
Final energy   -3.612 eV per atom
Calculated density   5.865 Mg/m³

Lattice parameters (Å, degrees): 4.645 4.645 5.318 90.00 90.00 90.00
Space group P4/mmm (No. 123)
Symmetry-distinct sites (fractional):
Mn 0.000 0.000 0.000 [1 per cell]
Cd 0.500 0.500 0.500 [1 per cell]
Se 0.000 0.500 0.000 [2 per cell]
Br 0.000 0.000 0.500 [1 per cell]



17.
Density functional theory data (PBE) for a relaxed MnCdSeBr2 crystal.

Crystal system   tetragonal
Energy relative to the lowest polymorph listed for this composition   0.116 eV per atom
ΔE_f (raw)   0.188 eV per atom
Final energy   -3.195 eV per atom
Calculated density   4.364 Mg/m³

Lattice parameters (Å, degrees): 5.311 5.311 5.479 90.00 90.00 90.00
Space group P4/mmm (No. 123)
Symmetry-distinct sites (fractional):
Mn 0.000 0.000 0.000 [1 per cell]
Cd 0.500 0.500 0.500 [1 per cell]
Se 0.500 0.500 0.000 [1 per cell]
Br 0.000 0.500 0.500 [2 per cell]



18.
Density functional theory data (PBE) for a relaxed SrMnCd2Br crystal.

Crystal system   tetragonal
ΔE_f (raw)   0.711 eV per atom
Final energy   -2.160 eV per atom
Calculated density   2.737 Mg/m³

Lattice parameters (Å, degrees): 6.520 6.520 6.384 90.00 90.00 90.00
Space group P4/mmm (No. 123)
Symmetry-distinct sites (fractional):
Sr 0.000 0.000 0.000 [1 per cell]
Mn 0.000 0.000 0.500 [1 per cell]
Cd 0.000 0.500 0.000 [2 per cell]
Br 0.500 0.500 0.500 [1 per cell]



19.
Density functional theory data (PBE) for a relaxed Mn2CdTcBr crystal.

Crystal system   tetragonal
ΔE_f (raw)   1.098 eV per atom
Final energy   -5.160 eV per atom
Calculated density   7.076 Mg/m³

Lattice parameters (Å, degrees): 4.479 4.479 4.681 90.00 90.00 90.00
Space group P4/mmm (No. 123)
Symmetry-distinct sites (fractional):
Mn 0.000 0.500 0.000 [2 per cell]
Cd 0.000 0.000 0.500 [1 per cell]
Tc 0.500 0.500 0.500 [1 per cell]
Br 0.500 0.500 0.000 [1 per cell]



20.
Density functional theory data (PBE) for a relaxed MnCdTe2Br crystal.

Crystal system   tetragonal
ΔE_f (raw)   0.687 eV per atom
Final energy   -2.922 eV per atom
Calculated density   5.110 Mg/m³

Lattice parameters (Å, degrees): 5.900 5.900 4.691 90.00 90.00 90.00
Space group P4/mmm (No. 123)
Symmetry-distinct sites (fractional):
Mn 0.000 0.000 0.000 [1 per cell]
Cd 0.500 0.500 0.000 [1 per cell]
Te 0.000 0.500 0.500 [2 per cell]
Br 0.000 0.000 0.500 [1 per cell]